Density functional theory data (GGA-PBEsol) for a relaxed LiLa2In crystal.

Cell lengths 3.538, 4.939, 6.628 Å; angles 90.00, 105.61, 90.00 degrees
Element x y z (fractional)
Li  0.318  0.000  0.510
La  0.046  0.000  0.966
La  0.704  0.500  0.283
In  0.433  0.500  0.741

Summary:
Space-group type: Pm

***

Density functional theory data (GGA-PBEsol) for a relaxed Ta2MnZnPd crystal.

Cell lengths 4.427, 4.427, 4.622 Å; angles 90.00, 90.00, 90.00 degrees
Element x y z (fractional)
Zn  0.500  0.500  0.500
Mn  0.000  0.000  0.000
Pd  0.000  0.000  0.500
Ta  0.000  0.500  0.000
Ta  0.500  0.000  0.000

Summary:
Space-group type: P4/mmm

***

Density functional theory data (GGA-PBEsol) for a relaxed Li2MgRh crystal.

Cell lengths 3.128, 4.297, 5.175 Å; angles 114.25, 107.59, 90.00 degrees
Element x y z (fractional)
Mg  0.000  0.500  0.000
Rh  0.500  0.000  0.000
Li  0.231  0.230  0.462
Li  0.769  0.770  0.538

Summary:
Space-group type: C2/m

***

Number 1: total moment 0.000 μB per atom, ΔH_f (0 K) -0.23 eV/atom. Number 2: total moment 0.000 μB per atom, ΔH_f (0 K) 0.89 eV/atom. Number 3: total moment 0.000 μB per atom, ΔH_f (0 K) -0.17 eV/atom.